[1]
An optimized crystal structure of SnI2F2. Source: Alexandria, functional GGA-PBE.

Unit cell a=6.4843 b=6.4843 c=7.4028 alpha=90.00 beta=90.00 gamma=90.00
Closest atoms and distances in Å follow each position.
Fractional coordinates of all 10 atoms:
F 0.7364 0.2364 0.0000  2 Sn 2.30
I 0.3451 0.1549 0.5000  1 I 2.84
F 0.7636 0.7364 0.0000  2 Sn 2.30
F 0.2636 0.7636 0.0000  2 Sn 2.30
F 0.2364 0.2636 0.0000  2 Sn 2.30
I 0.8451 0.3451 0.5000  1 I 2.84
Sn 0.5000 0.5000 0.0000  4 F 2.30
Sn 0.0000 0.0000 0.0000  4 F 2.30
I 0.1549 0.6549 0.5000  1 I 2.84
I 0.6549 0.8451 0.5000  1 I 2.84

Results
The value obtained for the density of states at the Fermi level is 4.49 states/eV/f.u.



[2]
An optimized crystal structure of Sn6IF12. Source: Alexandria, functional GGA-PBE.

Unit cell a=7.1390 b=7.1390 c=7.1390 alpha=100.86 beta=100.86 gamma=100.86
Closest atoms and distances in Å follow each position.
Fractional coordinates of all 19 atoms:
F 0.1323 0.8677 0.5000  4 Sn 2.49-2.58
F 0.5000 0.1323 0.8677  4 Sn 2.49-2.58
Sn 0.3623 0.7708 0.7708  4 F 2.29-2.49
Sn 0.7708 0.7708 0.3623  4 F 2.29-2.49
Sn 0.2292 0.2292 0.6377  4 F 2.29-2.49
F 0.5271 0.7970 0.5271  2 Sn 2.29
F 0.5000 0.8677 0.1323  4 Sn 2.49-2.58
F 0.4729 0.2030 0.4729  2 Sn 2.29
F 0.4729 0.4729 0.2030  2 Sn 2.29
F 0.8677 0.5000 0.1323  4 Sn 2.49-2.58
F 0.8677 0.1323 0.5000  4 Sn 2.49-2.58
Sn 0.2292 0.6377 0.2292  4 F 2.29-2.49
F 0.7970 0.5271 0.5271  2 Sn 2.29
Sn 0.7708 0.3623 0.7708  4 F 2.29-2.49
F 0.1323 0.5000 0.8677  4 Sn 2.49-2.58
F 0.2030 0.4729 0.4729  2 Sn 2.29
Sn 0.6377 0.2292 0.2292  4 F 2.29-2.49
I 0.0000 0.0000 0.0000  6 Sn 3.77, 18 F 3.86-4.11
F 0.5271 0.5271 0.7970  2 Sn 2.29

Results
The value obtained for the density of states at the Fermi level is 7.41 states/eV/f.u.



[3]
An optimized crystal structure of SnIF2. Source: Alexandria, functional GGA-PBE.

Unit cell a=10.2964 b=10.2964 c=10.2964 alpha=20.97 beta=20.97 gamma=20.97
Closest atoms and distances in Å follow each position.
Fractional coordinates of all 4 atoms:
I 0.0000 0.0000 0.0000  6 I 3.75, 2 F 3.97
Sn 0.5000 0.5000 0.5000  6 F 2.41
F 0.1313 0.1313 0.1313  3 Sn 2.41
F 0.8687 0.8687 0.8687  3 Sn 2.41

Results
The value obtained for the density of states at the Fermi level is 2.05 states/eV/f.u.



[4]
An optimized crystal structure of SnIF. Source: Alexandria, functional GGA-PBE.

Unit cell a=4.4988 b=6.5853 c=6.6978 alpha=70.67 beta=90.00 gamma=90.00
Closest atoms and distances in Å follow each position.
Fractional coordinates of all 6 atoms:
I 0.9300 0.1971 0.6099  1 Sn 2.98
F 0.9300 0.4477 0.0371  3 Sn 2.30-2.43
I 0.4300 0.7957 0.2449  1 Sn 2.98
F 0.4300 0.5449 0.8181  3 Sn 2.30-2.43
Sn 0.9300 0.6222 0.6782  3 F 2.30-2.43
Sn 0.4300 0.3705 0.1772  3 F 2.30-2.43

Results
The value obtained for the density of states at the Fermi level is 0.00 states/eV/f.u.



The records above give, respectively, energy relative to the elements, uncorrected values of -1.12 -2.05 -1.44 -1.37 eV/atom.